1.
First-principles (PBE-GGA) data for a geometry-optimized SrLa3Ir structure, as listed in Alexandria.

Crystal system: tetragonal
Calculated density in g/cm3: 5.25

a b c (Å): 5.760 5.760 26.560
angles (deg): 90.00 90.00 90.00
Space group I-4m2 (No. 119)
One atom of each set of equivalent atoms:
1 Sr 0.000 0.000 0.000 (multiplicity 2)
2 Sr 0.000 0.500 0.250 (multiplicity 2)
3 La 0.000 0.000 0.292 (multiplicity 4)
4 La 0.000 0.239 0.140 (multiplicity 8)
5 Ir 0.000 0.500 0.700 (multiplicity 4)



2.
First-principles (PBE-GGA) data for a geometry-optimized SrLa3Ir structure, as listed in Alexandria.

Crystal system: monoclinic
Calculated density in g/cm3: 6.21

a b c (Å): 13.569 15.410 7.202
angles (deg): 90.00 98.52 90.00
Space group C2/c (No. 15)
One atom of each set of equivalent atoms:
1 Sr 0.131 0.067 0.128 (multiplicity 8)
2 La 0.107 0.445 0.483 (multiplicity 8)
3 La 0.115 0.211 0.593 (multiplicity 8)
4 La 0.136 0.322 0.073 (multiplicity 8)
5 Ir 0.000 0.215 0.250 (multiplicity 4)
6 Ir 0.000 0.359 0.750 (multiplicity 4)



Going by the energies, 2 is most stable and the next is 0.939 eV/atom up.